--- a ---
This record from Alexandria describes a geometry-optimized RbLaPO2 structure. The functional is PBE-GGA.

Lattice parameters (Å, degrees): 4.6845 4.6845 6.1119 90.00 90.00 90.00
Last column: magnetic moment on the atom in μB.
Positions (direct):
1 O 0.0000 0.5000 0.0000  0.44
2 Rb 0.5000 0.5000 0.5000  0.04
3 O 0.5000 0.0000 0.0000  0.44
4 P 0.0000 0.0000 0.5000  0.78
5 La 0.0000 0.0000 0.0000  0.04

Computed properties:
**Fermi-level density of states**: 5.0 states/eV/f.u.
**Space group**: P4/mmm


--- b ---
This record from Alexandria describes a geometry-optimized RbLaPO2 structure. The functional is PBE-GGA.

Lattice parameters (Å, degrees): 4.5070 4.5070 5.1951 90.00 90.00 90.00
Last column: magnetic moment on the atom in μB.
Positions (direct):
1 P 0.0000 0.0000 0.5000  0.02
2 O 0.0000 0.5000 0.0000  0.18
3 Rb 0.0000 0.0000 0.0000  0.06
4 O 0.5000 0.0000 0.0000  0.18
5 La 0.5000 0.5000 0.5000  -0.01

Computed properties:
**Fermi-level density of states**: 5.0 states/eV/f.u.
**Space group**: P4/mmm


Which is the most stable structure? a is the most stable.


--- a ---
This record from Alexandria describes a geometry-optimized LaPRhO2 structure. The functional is PBE-GGA.

Lattice parameters (Å, degrees): 4.1057 4.1057 6.6795 90.00 90.00 90.00
Last column: magnetic moment on the atom in μB.
Positions (direct):
1 O 0.0000 0.5000 0.0000  -0.12
2 La 0.0000 0.0000 0.0000  -0.12
3 Rh 0.5000 0.5000 0.5000  1.12
4 P 0.0000 0.0000 0.5000  0.26
5 O 0.5000 0.0000 0.0000  -0.12

Computed properties:
**Fermi-level density of states**: 4.8 states/eV/f.u.
**Space group**: P4/mmm


--- b ---
This record from Alexandria describes a geometry-optimized LaPRhO2 structure. The functional is PBE-GGA.

Lattice parameters (Å, degrees): 4.1634 4.1634 4.5121 90.00 90.00 90.00
Last column: magnetic moment on the atom in μB.
Positions (direct):
1 Rh 0.0000 0.0000 0.0000  0.27
2 La 0.5000 0.5000 0.5000  0.01
3 O 0.5000 0.0000 0.0000  0.05
4 P 0.0000 0.0000 0.5000  0.01
5 O 0.0000 0.5000 0.0000  0.05

Computed properties:
**Fermi-level density of states**: 5.0 states/eV/f.u.
**Space group**: P4/mmm


Which is the most stable structure? b is the most stable.